A relaxed LaY7Th2 crystal. Source: Alexandria, functional PBE-GGA.

The total DFT energy (no corrections) comes out at -64.67 eV/f.u. The value obtained for the density of states at the Fermi level is 1.541 states/eV/atom.

Cell lengths 6.1807, 8.0670, 9.5089 Å; angles 120.47, 90.92, 58.49 degrees
Last column: nearest neighbours and their distance in Å.
Positions (direct):
La  0.0000  0.0000  0.0000  10 Y 3.58-3.65, 2 Th 3.63
Y  0.2076  0.1974  0.7949  9 Y 3.55-3.68, 2 Th 3.58, 1 La 3.65
Y  0.9057  0.8965  0.5976  4 Th 3.53-3.60, 7 Y 3.55-3.64, 1 La 3.59
Y  0.7032  0.6935  0.7930  3 Th 3.53-3.59, 7 Y 3.55-3.72, 2 La 3.60-3.61
Y  0.0943  0.1035  0.4024  4 Th 3.53-3.60, 7 Y 3.55-3.64, 1 La 3.59
Y  0.5000  0.5000  0.0000  8 Y 3.56-3.64, 2 La 3.58, 2 Th 3.59
Y  0.7924  0.8026  0.2051  9 Y 3.55-3.68, 2 Th 3.58, 1 La 3.65
Y  0.2968  0.3065  0.2070  3 Th 3.53-3.59, 7 Y 3.55-3.72, 2 La 3.60-3.61
Th  0.5952  0.6013  0.4019  10 Y 3.53-3.60, 1 Th 3.57, 1 La 3.63
Th  0.4048  0.3987  0.5981  10 Y 3.53-3.60, 1 Th 3.57, 1 La 3.63



A relaxed LaYTh14 crystal. Source: Alexandria, functional PBE-GGA.

The total DFT energy (no corrections) comes out at -114.66 eV/f.u. The value obtained for the density of states at the Fermi level is 1.268 states/eV/atom.

Cell lengths 7.1908, 7.1908, 11.6300 Å; angles 90.00, 90.00, 120.08 degrees
Last column: nearest neighbours and their distance in Å.
Positions (direct):
Th  0.2082  0.7918  0.0000  12 Th 3.55-3.60
Th  0.5404  0.9542  0.5000  8 Th 3.55-3.63, 2 La 3.55-3.64, 2 Y 3.58-3.61
Th  0.7085  0.2915  0.0000  12 Th 3.56-3.60
Th  0.8748  0.1252  0.2496  11 Th 3.57-3.60, 1 Y 3.57
Th  0.8760  0.6255  0.2482  10 Th 3.55-3.61, 1 Y 3.59, 1 La 3.60
Th  0.0458  0.4596  0.5000  8 Th 3.55-3.63, 2 La 3.55-3.64, 2 Y 3.58-3.61
Th  0.3745  0.1240  0.7518  10 Th 3.55-3.61, 1 Y 3.59, 1 La 3.60
Th  0.3745  0.1240  0.2482  10 Th 3.55-3.61, 1 Y 3.59, 1 La 3.60
Th  0.3743  0.6257  0.7520  11 Th 3.55-3.61, 1 La 3.59
Th  0.2084  0.2915  0.0000  12 Th 3.56-3.60
Th  0.8760  0.6255  0.7518  10 Th 3.55-3.61, 1 Y 3.59, 1 La 3.60
Th  0.3743  0.6257  0.2480  11 Th 3.55-3.61, 1 La 3.59
Th  0.7085  0.7916  0.0000  12 Th 3.56-3.60
Th  0.8748  0.1252  0.7504  11 Th 3.57-3.60, 1 Y 3.57
Y  0.0410  0.9590  0.5000  10 Th 3.57-3.61, 2 La 3.59
La  0.5401  0.4599  0.5000  10 Th 3.55-3.64, 2 Y 3.59



A relaxed La3Y3Th2 crystal. Source: Alexandria, functional PBE-GGA.

The total DFT energy (no corrections) comes out at -48.17 eV/f.u. The value obtained for the density of states at the Fermi level is 1.654 states/eV/atom.

Cell lengths 5.9034, 6.1400, 8.7186 Å; angles 69.85, 70.21, 90.05 degrees
Last column: nearest neighbours and their distance in Å.
Positions (direct):
La  0.1431  0.7004  0.7133  4 Th 3.39-3.56, 3 Y 3.46-3.69, 1 La 3.48
La  0.0000  0.0000  0.0000  2 La 3.48, 4 Y 3.56-3.57, 2 Th 3.85
La  0.8569  0.2996  0.2867  4 Th 3.39-3.56, 3 Y 3.46-3.69, 1 La 3.48
Th  0.7498  0.6795  0.5006  4 La 3.39-3.56, 4 Y 3.43-3.71, 2 Th 3.69
Th  0.2502  0.3205  0.4994  4 La 3.39-3.56, 4 Y 3.43-3.71, 2 Th 3.69
Y  0.6296  0.0890  0.7400  4 Th 3.43-3.71, 1 Y 3.46, 3 La 3.46-3.57
Y  0.5000  0.5000  0.0000  4 Y 3.46-3.86, 4 La 3.69, 2 Th 3.83
Y  0.3704  0.9110  0.2600  4 Th 3.43-3.71, 1 Y 3.46, 3 La 3.46-3.57



A relaxed La4Y5Th crystal. Source: Alexandria, functional PBE-GGA.

The total DFT energy (no corrections) comes out at -56.32 eV/f.u. The value obtained for the density of states at the Fermi level is 1.591 states/eV/atom.

Cell lengths 6.8347, 9.0655, 11.9017 Å; angles 90.00, 90.00, 90.00 degrees
Last column: nearest neighbours and their distance in Å.
Positions (direct):
Y  0.7482  0.3146  0.7233  4 Y 3.36-3.46, 1 Th 3.39, 3 La 3.53-3.75
Y  0.2518  0.3146  0.7233  4 Y 3.36-3.46, 1 Th 3.39, 3 La 3.53-3.75
Y  0.7518  0.8146  0.2767  4 Y 3.36-3.46, 1 Th 3.39, 3 La 3.53-3.75
Y  0.7482  0.6854  0.7233  4 Y 3.36-3.46, 1 Th 3.39, 3 La 3.53-3.75
Y  0.0000  0.5000  0.1940  2 Th 3.44, 4 Y 3.46, 4 La 3.51-3.61
Y  0.7518  0.1854  0.2767  4 Y 3.36-3.46, 1 Th 3.39, 3 La 3.53-3.75
Y  0.5000  0.0000  0.8060  2 Th 3.44, 4 Y 3.46, 4 La 3.51-3.61
Y  0.2518  0.6854  0.7233  4 Y 3.36-3.46, 1 Th 3.39, 3 La 3.53-3.75
Y  0.2482  0.8146  0.2767  4 Y 3.36-3.46, 1 Th 3.39, 3 La 3.53-3.75
Y  0.2482  0.1854  0.2767  4 Y 3.36-3.46, 1 Th 3.39, 3 La 3.53-3.75
Th  0.0000  0.0000  0.7744  4 La 3.26-3.31, 6 Y 3.39-3.44
Th  0.5000  0.5000  0.2256  4 La 3.26-3.31, 6 Y 3.39-3.44
La  0.0000  0.2160  0.9929  1 Th 3.26, 2 La 3.48, 1 Y 3.51
La  0.7449  0.0000  0.5375  1 Th 3.31, 2 La 3.35-3.49, 5 Y 3.53-3.61
La  0.7551  0.5000  0.4625  1 Th 3.31, 2 La 3.35-3.49, 5 Y 3.53-3.61
La  0.0000  0.7840  0.9929  1 Th 3.26, 2 La 3.48, 1 Y 3.51
La  0.2449  0.5000  0.4625  1 Th 3.31, 2 La 3.35-3.49, 5 Y 3.53-3.61
La  0.5000  0.2840  0.0071  1 Th 3.26, 2 La 3.48, 1 Y 3.51
La  0.5000  0.7160  0.0071  1 Th 3.26, 2 La 3.48, 1 Y 3.51
La  0.2551  0.0000  0.5375  1 Th 3.31, 2 La 3.35-3.49, 5 Y 3.53-3.61



A relaxed La2Y4Th3 crystal. Source: Alexandria, functional PBE-GGA.

The total DFT energy (no corrections) comes out at -57.28 eV/f.u. The value obtained for the density of states at the Fermi level is 2.086 states/eV/atom.

Cell lengths 3.5925, 3.5925, 26.9503 Å; angles 90.00, 90.00, 120.00 degrees
Last column: nearest neighbours and their distance in Å.
Positions (direct):
Th  0.3333  0.6667  0.9825  6 Th 3.59, 6 La 3.62-3.63
Th  0.3333  0.6667  0.3254  6 Y 3.52-3.61, 6 Th 3.59
Th  0.0000  0.0000  0.6504  6 Y 3.55-3.58, 6 Th 3.59
La  0.0000  0.0000  0.0926  1 Y 3.44, 6 La 3.59, 3 Th 3.62
La  0.0000  0.0000  0.8717  6 La 3.59, 3 Th 3.63, 3 Y 3.72
Y  0.3333  0.6667  0.5419  9 Y 3.55-3.59, 3 Th 3.58
Y  0.0000  0.0000  0.4352  9 Y 3.55-3.59, 3 Th 3.61
Y  0.0000  0.0000  0.2201  1 La 3.44, 3 Th 3.52, 6 Y 3.59
Y  0.3333  0.6667  0.7573  3 Th 3.55, 6 Y 3.59, 3 La 3.72



A relaxed La2Y6Th crystal. Source: Alexandria, functional PBE-GGA.

The total DFT energy (no corrections) comes out at -55.06 eV/f.u. The value obtained for the density of states at the Fermi level is 1.526 states/eV/atom.

Cell lengths 6.1013, 10.2649, 10.2649 Å; angles 70.62, 83.27, 83.27 degrees
Last column: nearest neighbours and their distance in Å.
Positions (direct):
Y  0.8002  0.0091  0.7733  3 Th 3.38-3.58, 5 Y 3.42-3.61, 2 La 3.66-3.69
Y  0.3598  0.9200  0.6528  4 Y 3.38-3.61, 4 La 3.49-3.73, 1 Th 3.55
Y  0.8598  0.6528  0.9200  4 Y 3.38-3.61, 4 La 3.49-3.73, 1 Th 3.55
Y  0.0231  0.5759  0.3158  1 Th 3.43, 4 La 3.47-3.70, 4 Y 3.49-3.57
Y  0.1998  0.9909  0.2267  3 Th 3.38-3.58, 5 Y 3.42-3.61, 2 La 3.66-3.69
Y  0.6998  0.2267  0.9909  3 Th 3.38-3.58, 5 Y 3.42-3.61, 2 La 3.66-3.69
Y  0.5231  0.3158  0.5759  1 Th 3.43, 4 La 3.47-3.70, 4 Y 3.49-3.57
Y  0.4769  0.6842  0.4241  1 Th 3.43, 4 La 3.47-3.70, 4 Y 3.49-3.57
Y  0.6402  0.0800  0.3472  4 Y 3.38-3.61, 4 La 3.49-3.73, 1 Th 3.55
Y  0.1402  0.3472  0.0800  4 Y 3.38-3.61, 4 La 3.49-3.73, 1 Th 3.55
Y  0.3002  0.7733  0.0091  3 Th 3.38-3.58, 5 Y 3.42-3.61, 2 La 3.66-3.69
Y  0.9769  0.4241  0.6842  1 Th 3.43, 4 La 3.47-3.70, 4 Y 3.49-3.57
Th  0.2500  0.1231  0.8769  10 Y 3.38-3.58
Th  0.7500  0.8769  0.1231  10 Y 3.38-3.58
La  0.9265  0.7831  0.5545  10 Y 3.47-3.73
La  0.4265  0.5545  0.7831  10 Y 3.47-3.73
La  0.5735  0.4455  0.2169  10 Y 3.47-3.73
La  0.0735  0.2169  0.4455  10 Y 3.47-3.73



A relaxed La2Y3Th2 crystal. Source: Alexandria, functional PBE-GGA.

The total DFT energy (no corrections) comes out at -43.40 eV/f.u. The value obtained for the density of states at the Fermi level is 1.797 states/eV/atom.

Cell lengths 3.5688, 8.8095, 9.0388 Å; angles 60.81, 89.94, 78.27 degrees
Last column: nearest neighbours and their distance in Å.
Positions (direct):
La  0.3573  0.2852  0.1560  4 La 3.57-3.80, 4 Th 3.66-3.77, 5 Y 3.70-3.91
La  0.6427  0.7148  0.8440  4 La 3.57-3.80, 4 Th 3.66-3.77, 5 Y 3.70-3.91
Y  0.7047  0.5910  0.2997  3 Th 3.46-3.59, 6 Y 3.57-3.67, 1 La 3.70
Y  0.2953  0.4090  0.7003  3 Th 3.46-3.59, 6 Y 3.57-3.67, 1 La 3.70
Y  0.0000  0.0000  0.0000  2 Th 3.44, 6 Y 3.57-3.67, 4 La 3.83
Th  0.9342  0.1331  0.5726  1 Th 3.16, 2 Y 3.44-3.46
Th  0.0658  0.8669  0.4274  1 Th 3.16, 2 Y 3.44-3.46



A relaxed La6Y3Th2 crystal. Source: Alexandria, functional PBE-GGA.

The total DFT energy (no corrections) comes out at -63.58 eV/f.u. The value obtained for the density of states at the Fermi level is 1.614 states/eV/atom.

Cell lengths 3.6500, 3.6500, 32.9887 Å; angles 86.83, 86.83, 60.00 degrees
Last column: nearest neighbours and their distance in Å.
Positions (direct):
La  0.3635  0.3635  0.9096  6 Y 3.62-3.65, 6 La 3.65
La  0.8164  0.8164  0.5509  3 Th 3.57, 9 La 3.65-3.96
La  0.1836  0.1836  0.4491  3 Th 3.57, 9 La 3.65-3.96
La  0.6365  0.6365  0.0904  6 Y 3.62-3.65, 6 La 3.65
La  0.9088  0.9088  0.2737  3 Th 3.58, 6 La 3.65, 3 Y 3.74
La  0.0912  0.0912  0.7263  3 Th 3.58, 6 La 3.65, 3 Y 3.74
Th  0.5461  0.5461  0.3616  6 La 3.57-3.58, 6 Th 3.65
Th  0.4539  0.4539  0.6384  6 La 3.57-3.58, 6 Th 3.65
Y  0.7266  0.7266  0.8202  6 La 3.62-3.74, 6 Y 3.65
Y  0.0000  0.0000  0.0000  6 La 3.65, 6 Y 3.65
Y  0.2734  0.2734  0.1798  6 La 3.62-3.74, 6 Y 3.65



A relaxed La9YTh2 crystal. Source: Alexandria, functional PBE-GGA.

The total DFT energy (no corrections) comes out at -65.22 eV/f.u. The value obtained for the density of states at the Fermi level is 1.647 states/eV/atom.

Cell lengths 5.1944, 5.1944, 15.6047 Å; angles 90.00, 90.00, 90.00 degrees
Last column: nearest neighbours and their distance in Å.
Positions (direct):
La  0.0000  0.5000  0.8292  2 Th 3.63, 8 La 3.64-3.72, 2 Y 3.72
La  0.5000  0.5000  0.0000  4 Y 3.67, 8 La 3.72
La  0.0000  0.5000  0.1708  2 Th 3.63, 8 La 3.64-3.72, 2 Y 3.72
La  0.5000  0.0000  0.8292  2 Th 3.63, 8 La 3.64-3.72, 2 Y 3.72
La  0.5000  0.5000  0.3340  8 La 3.64-3.67, 4 Th 3.67
La  0.0000  0.5000  0.5000  8 La 3.67, 4 Th 3.68
La  0.5000  0.0000  0.1708  2 Th 3.63, 8 La 3.64-3.72, 2 Y 3.72
La  0.5000  0.0000  0.5000  8 La 3.67, 4 Th 3.68
La  0.5000  0.5000  0.6660  8 La 3.64-3.67, 4 Th 3.67
Y  0.0000  0.0000  0.0000  12 La 3.67-3.72
Th  0.0000  0.0000  0.3333  12 La 3.63-3.68
Th  0.0000  0.0000  0.6667  12 La 3.63-3.68



A relaxed LaY2Th crystal. Source: Alexandria, functional PBE-GGA.

The total DFT energy (no corrections) comes out at -25.09 eV/f.u. The value obtained for the density of states at the Fermi level is 1.170 states/eV/atom.

Cell lengths 5.0339, 5.1448, 5.1448 Å; angles 90.00, 90.00, 90.00 degrees
Last column: nearest neighbours and their distance in Å.
Positions (direct):
Y  0.0000  0.5000  0.0000  4 La 3.60, 4 Th 3.60, 4 Y 3.64
Y  0.0000  0.0000  0.5000  4 La 3.60, 4 Th 3.60, 4 Y 3.64
La  0.5000  0.0000  0.0000  8 Y 3.60, 4 Th 3.64
Th  0.5000  0.5000  0.5000  8 Y 3.60, 4 La 3.64